<w>
VASP calculation (GGA-PBE) on crystalline PrLuCu at its relaxed geometry.

Geometry as CIF:
```
data_PrLuCu
_chemical_formula_sum 'Pr1 Lu1 Cu1'
_space_group_name_H-M_alt 'P 1'
_space_group_IT_number 1
_cell_length_a 6.7146
_cell_length_b 6.7146
_cell_length_c 6.7146
_cell_angle_alpha 149.77
_cell_angle_beta 149.77
_cell_angle_gamma 43.28
loop_
_space_group_symop_operation_xyz
'x,y,z'
loop_
_atom_site_label
_atom_site_fract_x
_atom_site_fract_y
_atom_site_fract_z
Pr1 0.0000 0.0000 0.0000
Lu1 0.7213 0.7213 0.0000
Cu1 0.3361 0.3361 0.0000
```

Summary:
- Crystal system: tetragonal
- Size of the total moment: 0.00 μB/f.u.
- Symmetry: I4mm, No. 107

---

<x>
VASP calculation (GGA-PBE) on crystalline PrLuCu at its relaxed geometry.

Geometry as CIF:
```
data_PrLuCu
_chemical_formula_sum 'Pr1 Lu1 Cu1'
_space_group_name_H-M_alt 'P 1'
_space_group_IT_number 1
_cell_length_a 4.7573
_cell_length_b 4.7573
_cell_length_c 3.9905
_cell_angle_alpha 90.00
_cell_angle_beta 90.00
_cell_angle_gamma 120.00
loop_
_space_group_symop_operation_xyz
'x,y,z'
loop_
_atom_site_label
_atom_site_fract_x
_atom_site_fract_y
_atom_site_fract_z
Pr1 0.0000 0.0000 0.0000
Lu1 0.6667 0.3333 0.4997
Cu1 0.3333 0.6667 0.5174
```

Summary:
- Crystal system: trigonal
- Size of the total moment: 0.00 μB/f.u.
- Symmetry: P3m1, No. 156

---

Name the least stable of them. <x>.

---

<w>
VASP calculation (GGA-PBE) on crystalline LuCu2Pt at its relaxed geometry.

Geometry as CIF:
```
data_LuCu2Pt
_chemical_formula_sum 'Lu1 Cu2 Pt1'
_space_group_name_H-M_alt 'P 1'
_space_group_IT_number 1
_cell_length_a 4.4820
_cell_length_b 4.4820
_cell_length_c 4.4820
_cell_angle_alpha 60.00
_cell_angle_beta 60.00
_cell_angle_gamma 60.00
loop_
_space_group_symop_operation_xyz
'x,y,z'
loop_
_atom_site_label
_atom_site_fract_x
_atom_site_fract_y
_atom_site_fract_z
Lu1 0.0000 0.0000 0.0000
Cu1 0.2500 0.2500 0.2500
Cu2 0.7500 0.7500 0.7500
Pt1 0.5000 0.5000 0.5000
```

Summary:
- Crystal system: cubic
- Size of the total moment: 0.00 μB/f.u.
- Symmetry: Fm-3m, No. 225

---

<x>
VASP calculation (GGA-PBE) on crystalline LuCu2Pt at its relaxed geometry.

Geometry as CIF:
```
data_LuCu2Pt
_chemical_formula_sum 'Lu1 Cu2 Pt1'
_space_group_name_H-M_alt 'P 1'
_space_group_IT_number 1
_cell_length_a 3.9503
_cell_length_b 3.9503
_cell_length_c 4.1491
_cell_angle_alpha 90.00
_cell_angle_beta 90.00
_cell_angle_gamma 90.00
loop_
_space_group_symop_operation_xyz
'x,y,z'
loop_
_atom_site_label
_atom_site_fract_x
_atom_site_fract_y
_atom_site_fract_z
Lu1 0.0000 0.0000 0.0000
Cu1 0.0000 0.5000 0.5000
Cu2 0.5000 0.0000 0.5000
Pt1 0.5000 0.5000 0.0000
```

Summary:
- Crystal system: tetragonal
- Size of the total moment: 0.00 μB/f.u.
- Symmetry: P4/mmm, No. 123

---

Name the least stable of them. <x>.

---

<w>
VASP calculation (GGA-PBE) on crystalline LuCu3S3 at its relaxed geometry.

Geometry as CIF:
```
data_LuCu3S3
_chemical_formula_sum 'Lu2 Cu6 S6'
_space_group_name_H-M_alt 'P 1'
_space_group_IT_number 1
_cell_length_a 7.3620
_cell_length_b 7.3620
_cell_length_c 7.3620
_cell_angle_alpha 53.73
_cell_angle_beta 53.73
_cell_angle_gamma 53.73
loop_
_space_group_symop_operation_xyz
'x,y,z'
loop_
_atom_site_label
_atom_site_fract_x
_atom_site_fract_y
_atom_site_fract_z
Lu1 0.1664 0.1664 0.1664
Lu2 0.8336 0.8336 0.8336
Cu1 0.0373 0.7158 0.3766
Cu2 0.2842 0.6234 0.9627
Cu3 0.3766 0.0373 0.7158
Cu4 0.6234 0.9627 0.2842
Cu5 0.7158 0.3766 0.0373
Cu6 0.9627 0.2842 0.6234
S1 0.0836 0.4196 0.7520
S2 0.2480 0.9164 0.5804
S3 0.4196 0.7520 0.0836
S4 0.5804 0.2480 0.9164
S5 0.7520 0.0836 0.4196
S6 0.9164 0.5804 0.2480
```

Summary:
- Crystal system: trigonal
- Size of the total moment: 0.00 μB/f.u.
- Symmetry: R-3, No. 148

---

<x>
VASP calculation (GGA-PBE) on crystalline LuCu3S3 at its relaxed geometry.

Geometry as CIF:
```
data_LuCu3S3
_chemical_formula_sum 'Lu2 Cu6 S6'
_space_group_name_H-M_alt 'P 1'
_space_group_IT_number 1
_cell_length_a 3.8430
_cell_length_b 3.8430
_cell_length_c 19.0078
_cell_angle_alpha 90.00
_cell_angle_beta 90.00
_cell_angle_gamma 120.00
loop_
_space_group_symop_operation_xyz
'x,y,z'
loop_
_atom_site_label
_atom_site_fract_x
_atom_site_fract_y
_atom_site_fract_z
Lu1 0.0000 0.0000 0.1709
Lu2 0.0000 0.0000 0.8291
Cu1 0.3333 0.6667 0.0460
Cu2 0.3333 0.6667 0.4337
Cu3 0.3333 0.6667 0.7035
Cu4 0.6667 0.3333 0.2965
Cu5 0.6667 0.3333 0.5663
Cu6 0.6667 0.3333 0.9540
S1 0.3333 0.6667 0.2488
S2 0.3333 0.6667 0.5851
S3 0.3333 0.6667 0.9170
S4 0.6667 0.3333 0.0830
S5 0.6667 0.3333 0.4149
S6 0.6667 0.3333 0.7512
```

Summary:
- Crystal system: trigonal
- Size of the total moment: 0.00 μB/f.u.
- Symmetry: P-3m1, No. 164

---

Name the least stable of them. <x>.

---

<w>
VASP calculation (GGA-PBE) on crystalline LuScCu at its relaxed geometry.

Geometry as CIF:
```
data_LuScCu
_chemical_formula_sum 'Lu1 Sc1 Cu1'
_space_group_name_H-M_alt 'P 1'
_space_group_IT_number 1
_cell_length_a 4.6048
_cell_length_b 4.6048
_cell_length_c 3.5519
_cell_angle_alpha 90.00
_cell_angle_beta 90.00
_cell_angle_gamma 120.00
loop_
_space_group_symop_operation_xyz
'x,y,z'
loop_
_atom_site_label
_atom_site_fract_x
_atom_site_fract_y
_atom_site_fract_z
Lu1 0.0000 0.0000 0.0000
Sc1 0.6667 0.3333 0.4765
Cu1 0.3333 0.6667 0.6596
```

Summary:
- Crystal system: trigonal
- Size of the total moment: 0.00 μB/f.u.
- Symmetry: P3m1, No. 156

---

<x>
VASP calculation (GGA-PBE) on crystalline LuScCu at its relaxed geometry.

Geometry as CIF:
```
data_LuScCu
_chemical_formula_sum 'Lu1 Sc1 Cu1'
_space_group_name_H-M_alt 'P 1'
_space_group_IT_number 1
_cell_length_a 6.3529
_cell_length_b 6.3529
_cell_length_c 6.3529
_cell_angle_alpha 149.76
_cell_angle_beta 149.76
_cell_angle_gamma 43.29
loop_
_space_group_symop_operation_xyz
'x,y,z'
loop_
_atom_site_label
_atom_site_fract_x
_atom_site_fract_y
_atom_site_fract_z
Lu1 0.0000 0.0000 0.0000
Sc1 0.2801 0.2801 0.0000
Cu1 0.6496 0.6496 0.0000
```

Summary:
- Crystal system: tetragonal
- Size of the total moment: 0.25 μB/f.u.
- Symmetry: I4mm, No. 107

---

Name the least stable of them. <w>.

---

<w>
VASP calculation (GGA-PBE) on crystalline SrLuCu2 at its relaxed geometry.

Geometry as CIF:
```
data_SrLuCu2
_chemical_formula_sum 'Sr1 Lu1 Cu2'
_space_group_name_H-M_alt 'P 1'
_space_group_IT_number 1
_cell_length_a 3.5595
_cell_length_b 3.5595
_cell_length_c 7.2596
_cell_angle_alpha 90.00
_cell_angle_beta 90.00
_cell_angle_gamma 90.00
loop_
_space_group_symop_operation_xyz
'x,y,z'
loop_
_atom_site_label
_atom_site_fract_x
_atom_site_fract_y
_atom_site_fract_z
Sr1 0.0000 0.0000 0.0000
Lu1 0.0000 0.0000 0.5000
Cu1 0.5000 0.5000 0.3088
Cu2 0.5000 0.5000 0.6912
```

Summary:
- Crystal system: tetragonal
- Size of the total moment: 0.00 μB/f.u.
- Symmetry: P4/mmm, No. 123

---

<x>
VASP calculation (GGA-PBE) on crystalline SrLuCu2 at its relaxed geometry.

Geometry as CIF:
```
data_SrLuCu2
_chemical_formula_sum 'Sr1 Lu1 Cu2'
_space_group_name_H-M_alt 'P 1'
_space_group_IT_number 1
_cell_length_a 5.0825
_cell_length_b 5.0825
_cell_length_c 3.4704
_cell_angle_alpha 90.00
_cell_angle_beta 90.00
_cell_angle_gamma 90.00
loop_
_space_group_symop_operation_xyz
'x,y,z'
loop_
_atom_site_label
_atom_site_fract_x
_atom_site_fract_y
_atom_site_fract_z
Sr1 0.0000 0.0000 0.0000
Lu1 0.5000 0.5000 0.0000
Cu1 0.0000 0.5000 0.5000
Cu2 0.5000 0.0000 0.5000
```

Summary:
- Crystal system: tetragonal
- Size of the total moment: 0.00 μB/f.u.
- Symmetry: P4/mmm, No. 123

---

Name the least stable of them. <x>.

---

<w>
VASP calculation (GGA-PBE) on crystalline TbLu2Cu at its relaxed geometry.

Geometry as CIF:
```
data_TbLu2Cu
_chemical_formula_sum 'Tb1 Lu2 Cu1'
_space_group_name_H-M_alt 'P 1'
_space_group_IT_number 1
_cell_length_a 3.4172
_cell_length_b 3.4172
_cell_length_c 8.6240
_cell_angle_alpha 90.00
_cell_angle_beta 90.00
_cell_angle_gamma 90.00
loop_
_space_group_symop_operation_xyz
'x,y,z'
loop_
_atom_site_label
_atom_site_fract_x
_atom_site_fract_y
_atom_site_fract_z
Tb1 0.0000 0.0000 0.0000
Lu1 0.5000 0.5000 0.3046
Lu2 0.5000 0.5000 0.6954
Cu1 0.0000 0.0000 0.5000
```

Summary:
- Crystal system: tetragonal
- Size of the total moment: 0.00 μB/f.u.
- Symmetry: P4/mmm, No. 123

---

<x>
VASP calculation (GGA-PBE) on crystalline TbLu2Cu at its relaxed geometry.

Geometry as CIF:
```
data_TbLu2Cu
_chemical_formula_sum 'Tb1 Lu2 Cu1'
_space_group_name_H-M_alt 'P 1'
_space_group_IT_number 1
_cell_length_a 9.8835
_cell_length_b 9.8835
_cell_length_c 9.8835
_cell_angle_alpha 20.71
_cell_angle_beta 20.71
_cell_angle_gamma 20.71
loop_
_space_group_symop_operation_xyz
'x,y,z'
loop_
_atom_site_label
_atom_site_fract_x
_atom_site_fract_y
_atom_site_fract_z
Tb1 0.0000 0.0000 0.0000
Lu1 0.2336 0.2336 0.2336
Lu2 0.7664 0.7664 0.7664
Cu1 0.5000 0.5000 0.5000
```

Summary:
- Crystal system: trigonal
- Size of the total moment: 0.00 μB/f.u.
- Symmetry: R-3m, No. 166

---

Name the least stable of them. <x>.

---

<w>
VASP calculation (GGA-PBE) on crystalline Lu2ThCu at its relaxed geometry.

Geometry as CIF:
```
data_Lu2ThCu
_chemical_formula_sum 'Lu2 Th1 Cu1'
_space_group_name_H-M_alt 'P 1'
_space_group_IT_number 1
_cell_length_a 9.8337
_cell_length_b 9.8337
_cell_length_c 9.8337
_cell_angle_alpha 20.85
_cell_angle_beta 20.85
_cell_angle_gamma 20.85
loop_
_space_group_symop_operation_xyz
'x,y,z'
loop_
_atom_site_label
_atom_site_fract_x
_atom_site_fract_y
_atom_site_fract_z
Lu1 0.2337 0.2337 0.2337
Lu2 0.7663 0.7663 0.7663
Th1 0.0000 0.0000 0.0000
Cu1 0.5000 0.5000 0.5000
```

Summary:
- Crystal system: trigonal
- Size of the total moment: 0.00 μB/f.u.
- Symmetry: R-3m, No. 166

---

<x>
VASP calculation (GGA-PBE) on crystalline Lu2ThCu at its relaxed geometry.

Geometry as CIF:
```
data_Lu2ThCu
_chemical_formula_sum 'Lu2 Th1 Cu1'
_space_group_name_H-M_alt 'P 1'
_space_group_IT_number 1
_cell_length_a 3.4322
_cell_length_b 3.4322
_cell_length_c 8.5665
_cell_angle_alpha 90.00
_cell_angle_beta 90.00
_cell_angle_gamma 90.00
loop_
_space_group_symop_operation_xyz
'x,y,z'
loop_
_atom_site_label
_atom_site_fract_x
_atom_site_fract_y
_atom_site_fract_z
Lu1 0.0000 0.0000 0.1951
Lu2 0.0000 0.0000 0.8049
Th1 0.5000 0.5000 0.5000
Cu1 0.5000 0.5000 0.0000
```

Summary:
- Crystal system: tetragonal
- Size of the total moment: 0.00 μB/f.u.
- Symmetry: P4/mmm, No. 123

---

Name the least stable of them. <w>.

---

<w>
VASP calculation (GGA-PBE) on crystalline LuThCu at its relaxed geometry.

Geometry as CIF:
```
data_LuThCu
_chemical_formula_sum 'Lu1 Th1 Cu1'
_space_group_name_H-M_alt 'P 1'
_space_group_IT_number 1
_cell_length_a 6.6177
_cell_length_b 6.6177
_cell_length_c 6.6177
_cell_angle_alpha 149.69
_cell_angle_beta 149.69
_cell_angle_gamma 43.40
loop_
_space_group_symop_operation_xyz
'x,y,z'
loop_
_atom_site_label
_atom_site_fract_x
_atom_site_fract_y
_atom_site_fract_z
Lu1 0.0000 0.0000 0.0000
Th1 0.7086 0.7086 0.0000
Cu1 0.3702 0.3702 0.0000
```

Summary:
- Crystal system: tetragonal
- Size of the total moment: 0.00 μB/f.u.
- Symmetry: I4mm, No. 107

---

<x>
VASP calculation (GGA-PBE) on crystalline LuThCu at its relaxed geometry.

Geometry as CIF:
```
data_LuThCu
_chemical_formula_sum 'Lu1 Th1 Cu1'
_space_group_name_H-M_alt 'P 1'
_space_group_IT_number 1
_cell_length_a 4.8264
_cell_length_b 4.8264
_cell_length_c 3.7406
_cell_angle_alpha 90.00
_cell_angle_beta 90.00
_cell_angle_gamma 120.00
loop_
_space_group_symop_operation_xyz
'x,y,z'
loop_
_atom_site_label
_atom_site_fract_x
_atom_site_fract_y
_atom_site_fract_z
Lu1 0.0000 0.0000 0.0000
Th1 0.6667 0.3333 0.5033
Cu1 0.3333 0.6667 0.0337
```

Summary:
- Crystal system: trigonal
- Size of the total moment: 0.00 μB/f.u.
- Symmetry: P3m1, No. 156

---

Name the least stable of them. <x>.